# Sm2Dy5Er5 PBE optimized geometry
data_Sm2Dy5Er5
_space_group_name_H-M_alt 'C 1 2/m 1'
_space_group_IT_number 12
_cell_length_a 15.021
_cell_length_b 5.002
_cell_length_c 11.197
_cell_angle_alpha 90.00
_cell_angle_beta 116.54
_cell_angle_gamma 90.00
loop_
_space_group_symop_operation_xyz
'x,y,z'
'-x,-y,-z'
'-x,y,-z'
'x,-y,z'
'x+1/2,y+1/2,z'
'-x+1/2,-y+1/2,-z'
'-x+1/2,y+1/2,-z'
'x+1/2,-y+1/2,z'
loop_
_atom_site_label
_atom_site_fract_x
_atom_site_fract_y
_atom_site_fract_z
Sm1 0.083 0.000 0.249
Dy1 0.000 0.500 0.000
Dy2 0.084 0.500 0.750
Dy3 0.166 0.500 0.500
Er1 0.000 0.000 0.500
Er2 0.168 0.000 0.000
Er3 0.249 0.000 0.750
# - Raw total energy: -4.59 eV per atom
# - DOS(E_F): 33.77 states/eV per cell
# - Energy relative to the elements: 0.0201 eV/atom
# - Total magnetic moment: 0.000 μB per formula unit



# Mg2BeFe PBE optimized geometry
data_Mg2BeFe
_space_group_name_H-M_alt 'F -4 3 m'
_space_group_IT_number 216
_space_group_name_Hall 'F -4 2 3'
_cell_length_a 6.167
_cell_length_b 6.167
_cell_length_c 6.167
_cell_angle_alpha 90.00
_cell_angle_beta 90.00
_cell_angle_gamma 90.00
loop_
_atom_site_label
_atom_site_fract_x
_atom_site_fract_y
_atom_site_fract_z
Mg1 0.000 0.000 0.000
Mg2 0.250 0.250 0.250
Be1 0.000 0.000 0.500
Fe1 0.250 0.250 0.750
# - Raw total energy: -3.47 eV per atom
# - DOS(E_F): 20.73 states/eV per cell
# - Energy relative to the elements: 0.3726 eV/atom
# - Total magnetic moment: 2.315 μB per formula unit



# LaCdAu3 PBE optimized geometry
data_LaCdAu3
_space_group_name_H-M_alt 'P m -3 m'
_space_group_IT_number 221
_space_group_name_Hall '-P 4 2 3'
_cell_length_a 5.735
_cell_length_b 5.735
_cell_length_c 5.735
_cell_angle_alpha 90.00
_cell_angle_beta 90.00
_cell_angle_gamma 90.00
loop_
_atom_site_label
_atom_site_fract_x
_atom_site_fract_y
_atom_site_fract_z
La1 0.000 0.000 0.000
Cd1 0.500 0.500 0.500
Au1 0.000 0.000 0.500
# - Raw total energy: -2.88 eV per atom
# - DOS(E_F): 0.51 states/eV per cell
# - E above lowest polymorph: 0.805 eV/atom
# - Energy relative to the elements: 0.2559 eV/atom
# - Total magnetic moment: 0.000 μB per formula unit



# LiLaIn PBE optimized geometry
data_LiLaIn
_space_group_name_H-M_alt 'F -4 3 m'
_space_group_IT_number 216
_space_group_name_Hall 'F -4 2 3'
_cell_length_a 7.371
_cell_length_b 7.371
_cell_length_c 7.371
_cell_angle_alpha 90.00
_cell_angle_beta 90.00
_cell_angle_gamma 90.00
loop_
_atom_site_label
_atom_site_fract_x
_atom_site_fract_y
_atom_site_fract_z
Li1 0.000 0.000 0.000
La1 0.250 0.250 0.750
In1 0.000 0.000 0.500
# - Raw total energy: -2.97 eV per atom
# - DOS(E_F): 12.97 states/eV per cell
# - Energy relative to the elements: 0.2209 eV/atom
# - Total magnetic moment: 0.000 μB per formula unit



# Tb3Np3VN8 PBE optimized geometry
data_Tb3Np3VN8
_space_group_name_H-M_alt 'R -3 m'
_space_group_IT_number 166
_space_group_name_Hall '-R 3 2"'
_cell_length_a 6.6940
_cell_length_b 6.6940
_cell_length_c 16.8338
_cell_angle_alpha 90.00
_cell_angle_beta 90.00
_cell_angle_gamma 120.00
loop_
_atom_site_label
_atom_site_fract_x
_atom_site_fract_y
_atom_site_fract_z
Tb1 0.0000 0.5000 0.0000
Np1 0.0000 0.5000 0.5000
V1 0.0000 0.0000 0.5000
N1 0.0000 0.0000 0.2491
N2 0.0257 0.5129 0.2360
# - Raw total energy: -9.75 eV per atom
# - DOS(E_F): 54.26 states/eV per cell
# - Total magnetic moment: 9.710 μB per formula unit



# Ca2PRh PBE optimized geometry
data_Ca2PRh
_space_group_name_H-M_alt 'P 4/m m m'
_space_group_IT_number 123
_space_group_name_Hall '-P 4 2'
_cell_length_a 3.660
_cell_length_b 3.660
_cell_length_c 6.063
_cell_angle_alpha 90.00
_cell_angle_beta 90.00
_cell_angle_gamma 90.00
loop_
_atom_site_label
_atom_site_fract_x
_atom_site_fract_y
_atom_site_fract_z
Ca1 0.000 0.000 0.244
P1 0.500 0.500 0.000
Rh1 0.500 0.500 0.500
# - Raw total energy: -4.74 eV per atom
# - DOS(E_F): 2.11 states/eV per cell
# - Energy relative to the elements: -0.5445 eV/atom
# - Total magnetic moment: 0.000 μB per formula unit



# YCo2RhC PBE optimized geometry
data_YCo2RhC
_space_group_name_H-M_alt 'P 4/m m m'
_space_group_IT_number 123
_space_group_name_Hall '-P 4 2'
_cell_length_a 3.935
_cell_length_b 3.935
_cell_length_c 4.188
_cell_angle_alpha 90.00
_cell_angle_beta 90.00
_cell_angle_gamma 90.00
loop_
_atom_site_label
_atom_site_fract_x
_atom_site_fract_y
_atom_site_fract_z
Y1 0.000 0.000 0.000
Co1 0.000 0.500 0.500
Rh1 0.500 0.500 0.000
C1 0.500 0.500 0.500
# - Raw total energy: -7.69 eV per atom
# - DOS(E_F): 2.18 states/eV per cell
# - Energy relative to the elements: -0.2354 eV/atom
# - Total magnetic moment: 0.000 μB per formula unit



# K2Ag12Te7 PBE optimized geometry
data_K2Ag12Te7
_space_group_name_H-M_alt 'P -3'
_space_group_IT_number 147
_cell_length_a 11.4882
_cell_length_b 11.4882
_cell_length_c 4.7447
_cell_angle_alpha 90.00
_cell_angle_beta 90.00
_cell_angle_gamma 120.00
loop_
_space_group_symop_operation_xyz
'x,y,z'
'-x,-y,-z'
'-y,x-y,z'
'y,-x+y,-z'
'-x+y,-x,z'
'x-y,x,-z'
loop_
_atom_site_label
_atom_site_fract_x
_atom_site_fract_y
_atom_site_fract_z
K1 0.3333 0.6667 0.2336
Ag1 0.0624 0.6770 0.8051
Ag2 0.1039 0.8551 0.3155
Te1 0.0000 0.0000 0.0000
Te2 0.1035 0.4265 0.7167
# - Raw total energy: -3.01 eV per atom
# - DOS(E_F): 0.82 states/eV per cell
# - Total magnetic moment: 0.000 μB per formula unit



# Hg2PdI PBE optimized geometry
data_Hg2PdI
_space_group_name_H-M_alt 'F m -3 m'
_space_group_IT_number 225
_space_group_name_Hall '-F 4 2 3'
_cell_length_a 7.381
_cell_length_b 7.381
_cell_length_c 7.381
_cell_angle_alpha 90.00
_cell_angle_beta 90.00
_cell_angle_gamma 90.00
loop_
_atom_site_label
_atom_site_fract_x
_atom_site_fract_y
_atom_site_fract_z
Hg1 0.250 0.250 0.250
Pd1 0.000 0.000 0.000
I1 0.000 0.000 0.500
# - Raw total energy: -1.45 eV per atom
# - DOS(E_F): 8.83 states/eV per cell
# - E above lowest polymorph: 0.264 eV/atom
# - Total magnetic moment: 0.000 μB per formula unit



# La2SiBPd6 PBE optimized geometry
data_La2SiBPd6
_space_group_name_H-M_alt 'R -3 m'
_space_group_IT_number 166
_space_group_name_Hall '-R 3 2"'
_cell_length_a 5.8354
_cell_length_b 5.8354
_cell_length_c 18.7373
_cell_angle_alpha 90.00
_cell_angle_beta 90.00
_cell_angle_gamma 120.00
loop_
_atom_site_label
_atom_site_fract_x
_atom_site_fract_y
_atom_site_fract_z
La1 0.0000 0.0000 0.2243
Si1 0.0000 0.0000 0.5000
B1 0.0000 0.0000 0.0000
Pd1 0.0097 0.5048 0.2688
# - Raw total energy: -6.06 eV per atom
# - DOS(E_F): 20.95 states/eV per cell
# - Total magnetic moment: 0.000 μB per formula unit



# Pa4Se PBE optimized geometry
data_Pa4Se
_space_group_name_H-M_alt 'P m -3 m'
_space_group_IT_number 221
_space_group_name_Hall '-P 4 2 3'
_cell_length_a 5.295
_cell_length_b 5.295
_cell_length_c 5.295
_cell_angle_alpha 90.00
_cell_angle_beta 90.00
_cell_angle_gamma 90.00
loop_
_atom_site_label
_atom_site_fract_x
_atom_site_fract_y
_atom_site_fract_z
Pa1 0.000 0.000 0.000
Pa2 0.000 0.500 0.500
Se1 0.500 0.500 0.500
# - Raw total energy: -7.97 eV per atom
# - DOS(E_F): 12.99 states/eV per cell
# - Total magnetic moment: 0.000 μB per formula unit



# Mg5TiRh6 PBE optimized geometry
data_Mg5TiRh6
_space_group_name_H-M_alt 'C m m m'
_space_group_IT_number 65
_space_group_name_Hall '-C 2 2'
_cell_length_a 4.398
_cell_length_b 13.136
_cell_length_c 6.251
_cell_angle_alpha 90.00
_cell_angle_beta 90.00
_cell_angle_gamma 90.00
loop_
_atom_site_label
_atom_site_fract_x
_atom_site_fract_y
_atom_site_fract_z
Mg1 0.000 0.000 0.000
Mg2 0.000 0.331 0.500
Mg3 0.000 0.333 0.000
Ti1 0.000 0.000 0.500
Rh1 0.000 0.162 0.255
Rh2 0.000 0.500 0.258
# - Raw total energy: -5.61 eV per atom
# - DOS(E_F): 8.03 states/eV per cell
# - Energy relative to the elements: -0.6148 eV/atom
# - Total magnetic moment: 0.000 μB per formula unit